First-principles (PBE with a Hubbard U) data for an optimized crystal structure of Y3MoO6, as listed in Alexandria via LeMat-Bulk.

Lattice parameters (Å, degrees): 5.642 7.140 7.140 101.99 90.00 90.00
Last column: magnetic moment on the atom in μB.
Atoms (fractional coordinates):
Mo1 0.482 0.855 0.145  2.62
Mo2 0.982 0.145 0.855  2.62
O1 0.189 0.676 0.645  0.01
O2 0.288 0.017 0.983  0.00
O3 0.689 0.324 0.355  0.01
O4 0.674 0.896 0.405  0.03
O5 0.174 0.104 0.595  0.03
O6 0.142 0.779 0.221  0.03
O7 0.788 0.983 0.017  0.00
O8 0.189 0.355 0.324  0.01
O9 0.174 0.405 0.896  0.03
O10 0.642 0.221 0.779  0.03
O11 0.674 0.595 0.104  0.03
O12 0.689 0.645 0.676  0.01
Y1 0.915 0.603 0.397  0.01
Y2 0.967 0.674 0.910  0.02
Y3 0.467 0.326 0.090  0.02
Y4 0.415 0.397 0.603  0.01
Y5 0.467 0.910 0.674  0.02
Y6 0.967 0.090 0.326  0.02

Output
Final energy (eV per atom): -8.603
Magnetic moment (μB/atom): 0.300